DFT (GGA-PBE) results for a relaxed NaMoIN2 crystal.

Computed properties:
distance to the lowest polymorph of the same formula	0	meV per atom
DOS at the Fermi energy	2.0	states/eV/cell
raw total energy	-5.913	eV/atom
formation energy from raw total energies	0.16	eV per atom

a b c (Å): 4.0008 4.0008 5.8629
angles (deg): 90.00 90.00 90.00
Space group P4/mmm (No. 123)
Asymmetric unit:
Na 0.0000 0.0000 0.0000 [1 per cell]
Mo 0.5000 0.5000 0.5000 [1 per cell]
I 0.5000 0.5000 0.0000 [1 per cell]
N 0.0000 0.5000 0.5000 [2 per cell]